Record 1
Below is KZnGeCl5 after structural relaxation, with properties calculated at the GGA-PBE level.

Formation energy without anion corrections (meV/atom): -1226
Magnetization (μB/atom): 0.000

CIF file:
```
data_KZnGeCl5
_chemical_formula_sum 'K4 Zn4 Ge4 Cl20'
_cell_length_a 8.938
_cell_length_b 11.805
_cell_length_c 9.700
_cell_angle_alpha 90.00
_cell_angle_beta 113.92
_cell_angle_gamma 90.00
_space_group_name_H-M_alt 'C 1 2/c 1'
_space_group_IT_number 15
loop_
_space_group_symop_operation_xyz
'x,y,z'
'-x,-y,-z'
'-x,y,-z+1/2'
'x,-y,z+1/2'
'x+1/2,y+1/2,z'
'-x+1/2,-y+1/2,-z'
'-x+1/2,y+1/2,-z+1/2'
'x+1/2,-y+1/2,z+1/2'
loop_
_atom_site_label
_atom_site_fract_x
_atom_site_fract_y
_atom_site_fract_z
K1 0.000 0.158 0.250
Zn1 0.000 0.185 0.750
Ge1 0.000 0.500 0.000
Cl1 0.000 0.421 0.250
Cl2 0.115 0.290 0.619
Cl3 0.183 0.067 0.930
```

Record 2
Below is K2ZnGeCl6 after structural relaxation, with properties calculated at the GGA-PBE level.

Formation energy without anion corrections (meV/atom): -1376
Magnetization (μB/atom): 0.000

CIF file:
```
data_K2ZnGeCl6
_chemical_formula_sum 'K6 Zn3 Ge3 Cl18'
_cell_length_a 7.3246
_cell_length_b 7.3246
_cell_length_c 22.1935
_cell_angle_alpha 90.00
_cell_angle_beta 90.00
_cell_angle_gamma 120.00
_space_group_name_H-M_alt 'R 3'
_space_group_IT_number 146
_space_group_name_Hall 'R 3'
loop_
_atom_site_label
_atom_site_fract_x
_atom_site_fract_y
_atom_site_fract_z
K1 0.0000 0.0000 0.0000
K2 0.0000 0.0000 0.4923
Zn1 0.0000 0.0000 0.2531
Ge1 0.0000 0.0000 0.7030
Cl1 0.0207 0.3790 0.9225
Cl2 0.0340 0.7360 0.7568
```

Record 3
Below is La3GeCl after structural relaxation, with properties calculated at the GGA-PBE level.

Formation energy without anion corrections (meV/atom): -897
Magnetization (μB/atom): 0.082

CIF file:
```
data_La3GeCl
_chemical_formula_sum 'La12 Ge4 Cl4'
_cell_length_a 11.723
_cell_length_b 4.221
_cell_length_c 12.339
_cell_angle_alpha 90.00
_cell_angle_beta 90.00
_cell_angle_gamma 90.00
_space_group_name_H-M_alt 'P n m a'
_space_group_IT_number 62
loop_
_space_group_symop_operation_xyz
'x,y,z'
'-x,-y,-z'
'-x+1/2,-y,z+1/2'
'x+1/2,y,-z+1/2'
'x+1/2,-y+1/2,-z+1/2'
'-x+1/2,y+1/2,z+1/2'
'-x,y+1/2,-z'
'x,-y+1/2,z'
loop_
_atom_site_label
_atom_site_fract_x
_atom_site_fract_y
_atom_site_fract_z
La1 0.063 0.250 0.123
La2 0.101 0.750 0.572
La3 0.226 0.250 0.810
Ge1 0.011 0.750 0.295
Cl1 0.181 0.750 0.980
```

Record 4
Below is La5GeCl4 after structural relaxation, with properties calculated at the GGA-PBE level.

Formation energy without anion corrections (meV/atom): -1459
Magnetization (μB/atom): 0.000

CIF file:
```
data_La5GeCl4
_chemical_formula_sum 'La10 Ge2 Cl8'
_cell_length_a 4.322
_cell_length_b 5.931
_cell_length_c 20.559
_cell_angle_alpha 90.00
_cell_angle_beta 90.00
_cell_angle_gamma 90.00
_space_group_name_H-M_alt 'I m m m'
_space_group_IT_number 71
_space_group_name_Hall '-I 2 2'
loop_
_atom_site_label
_atom_site_fract_x
_atom_site_fract_y
_atom_site_fract_z
La1 0.000 0.000 0.000
La2 0.000 0.000 0.202
La3 0.000 0.000 0.399
Ge1 0.000 0.500 0.000
Cl1 0.000 0.500 0.202
Cl2 0.000 0.500 0.400
```